Record 1
PBE-GGA LaHo5Th2, optimized geometry; ΔH_f (0 K) = 88 meV per atom
1.0
-1.772 5.608 6.612
1.772 -5.608 6.612
1.772 5.608 -6.612
La Ho Th
1 5 2
Direct
0.000 0.000 0.000
0.141 0.367 0.774
0.406 0.633 0.774
0.500 0.000 0.500
0.594 0.367 0.226
0.859 0.633 0.226
0.238 0.738 0.500
0.762 0.262 0.500

=====

Record 2
PBE-GGA LaHo4Th3, optimized geometry; ΔH_f (0 K) = 52 meV per atom
1.0
3.577 -7.094 0.000
3.577 7.094 0.000
-3.577 0.000 5.064
La Ho Th
1 4 3
Direct
0.000 0.000 0.000
0.254 0.746 0.000
0.375 0.625 0.500
0.625 0.375 0.500
0.746 0.254 0.000
0.124 0.876 0.500
0.500 0.500 0.000
0.876 0.124 0.500

=====

Repeat the second record exactly.
PBE-GGA LaHo4Th3, optimized geometry; ΔH_f (0 K) = 52 meV per atom
1.0
3.577 -7.094 0.000
3.577 7.094 0.000
-3.577 0.000 5.064
La Ho Th
1 4 3
Direct
0.000 0.000 0.000
0.254 0.746 0.000
0.375 0.625 0.500
0.625 0.375 0.500
0.746 0.254 0.000
0.124 0.876 0.500
0.500 0.500 0.000
0.876 0.124 0.500

=====

Which value of ΔH_f (0 K) does entry 1 give?
88 meV per atom

=====

Which formula does entry 1 have?
LaHo5Th2

=====

ΔH_f (0 K) of number 2 (LaHo4Th3)?
52 meV per atom